The following is a DFT calculation (PBE+U) of a relaxed structure of Na2V2O5.

Unit cell a=5.4087 b=5.5773 c=8.2427 alpha=70.23 beta=70.88 gamma=90.00
Fractional positions:
Na1 0.3932 0.9214 0.2151
Na2 0.6075 0.0794 0.7848
Na3 0.8931 0.3637 0.2151
Na4 0.1075 0.6357 0.7848
V1 0.7087 0.6807 0.4999
V2 0.2087 0.3194 0.4999
V3 0.5115 0.5012 0.9998
V4 0.0115 0.9990 0.9998
O1 0.3647 0.6199 0.5000
O2 0.8648 0.3801 0.4999
O3 0.2860 0.2793 0.9774
O4 0.2397 0.7531 0.0231
O5 0.7861 0.2434 0.9774
O6 0.7397 0.7238 0.0231
O7 0.8848 0.9186 0.2830
O8 0.1679 0.0816 0.7171
O9 0.3849 0.2985 0.2830
O10 0.6679 0.7013 0.7171

Calculated total energy ... -119.53 eV/cell
Total moment ... 0.22 μB/atom
Space group ... Cc (9)